{"formula": "CdHgH2", "functional": "PBE", "state": "optimized geometry", "relative_energy_mev_per_atom": 530.4, "spacegroup": "Fm-3m, No. 225", "n_ef_per_ev_fu": 1.3, "cell": [[-0.274, -4.067, 1.331], [-3.158, -2.518, -1.440], [0.880, -3.206, -2.708]], "species": ["H", "H", "Hg", "Cd"], "fractional_positions": [[0.250, 0.250, 0.250], [0.750, 0.750, 0.750], [0.500, 0.500, 0.500], [0.000, 0.000, 0.000]]}

=====

{"formula": "Li2TiCoS", "functional": "PBE", "state": "optimized geometry", "spacegroup": "P4/mmm, No. 123", "n_ef_per_ev_fu": 7.9, "formation_energy_uncorrected_mev_per_atom": -37, "cell": [[4.221, 0.000, 0.000], [0.000, 4.682, 0.000], [0.000, 0.000, 4.221]], "species": ["S", "Li", "Li", "Co", "Ti"], "fractional_positions": [[0.000, 0.000, 0.000], [0.000, 0.000, 0.500], [0.500, 0.000, 0.000], [0.500, 0.500, 0.500], [0.000, 0.500, 0.000]]}

=====

{"formula": "Dy5Tl2Hg2", "functional": "PBE", "state": "optimized geometry", "formation_energy_ev_per_atom": -0.343, "spacegroup": "Cmce, No. 64", "n_ef_per_ev_fu": 6.3, "cell": [[7.289, 0.000, 0.000], [0.000, 8.574, 0.000], [0.000, -4.287, 8.176]], "species": ["Dy", "Dy", "Dy", "Dy", "Dy", "Dy", "Dy", "Dy", "Dy", "Dy", "Tl", "Tl", "Tl", "Tl", "Hg", "Hg", "Hg", "Hg"], "fractional_positions": [[0.000, 0.000, 0.000], [0.500, 0.500, 0.000], [0.842, 0.825, 0.279], [0.158, 0.454, 0.279], [0.342, 0.954, 0.279], [0.658, 0.325, 0.279], [0.158, 0.175, 0.721], [0.842, 0.546, 0.721], [0.658, 0.046, 0.721], [0.342, 0.675, 0.721], [0.000, 0.210, 0.420], [0.500, 0.710, 0.420], [0.000, 0.790, 0.580], [0.500, 0.290, 0.580], [0.620, 0.857, 0.000], [0.380, 0.143, 0.000], [0.120, 0.643, 0.000], [0.880, 0.357, 0.000]]}

=====

{"formula": "Ta3Nb4Ir", "functional": "PBE", "state": "optimized geometry", "formation_energy_ev_per_atom": 0.113, "spacegroup": "Immm, No. 71", "n_ef_per_ev_fu": 8.0, "cell": [[-2.457, -0.074, -1.304], [2.606, -8.164, -4.445], [-2.153, 1.234, 6.956]], "species": ["Ta", "Ta", "Ta", "Nb", "Nb", "Nb", "Nb", "Ir"], "fractional_positions": [[0.236, 0.236, 0.472], [0.764, 0.764, 0.528], [0.000, 0.500, 0.000], [0.375, 0.128, 0.749], [0.625, 0.872, 0.251], [0.625, 0.379, 0.251], [0.375, 0.621, 0.749], [0.500, 0.000, 0.000]]}

=====

{"formula": "Cs3YTl", "functional": "PBE", "state": "optimized geometry", "formation_energy_ev_per_atom": 0.860, "spacegroup": "Pm-3m, No. 221", "n_ef_per_ev_fu": 12.1, "cell": [[7.286, 0.000, 0.000], [0.000, 7.286, 0.000], [0.000, 0.000, 7.286]], "species": ["Cs", "Cs", "Cs", "Y", "Tl"], "fractional_positions": [[0.000, 0.500, 0.000], [0.000, 0.000, 0.500], [0.500, 0.000, 0.000], [0.000, 0.000, 0.000], [0.500, 0.500, 0.500]]}

=====

{"formula": "AcSmCu", "functional": "PBE", "state": "optimized geometry", "relative_energy_mev_per_atom": 120.7, "formation_energy_ev_per_atom": 0.069, "spacegroup": "P3m1, No. 156", "n_ef_per_ev_fu": 3.2, "cell": [[-4.614, 1.051, -0.376], [-0.920, -4.489, -1.265], [-0.091, 1.243, 4.588]], "species": ["Ac", "Cu", "Sm"], "fractional_positions": [[0.334, 0.333, 0.667], [0.832, 0.000, 0.000], [0.834, 0.667, 0.333]]}

=====

no.,total magnetization (Bohr magnetons per cell)
1,0.000
2,0.451
3,0.000
4,0.000
5,4.630
6,0.000